Sn2Te2I: optimized geometry, PBE.

As for the spin magnetization: 0.000 μB/cell. Its mass density is 6.534 g/cm³. As for the formation energy from raw total energies: -0.16 eV/atom. The energy above the lowest structure with this stoichiometry is 120 meV per atom.

It has space group P4/mbm (No. 127), with a = 8.818 Å, b = 8.818 Å, c = 4.050 Å, α = 90.00°, β = 90.00° and γ = 90.00°. The asymmetric unit holds Sn at (0.171, 0.329, 0.000), Te at (0.137, 0.637, 0.500) and I at (0.000, 0.000, 0.000).